1.
# La2Tm2Pb2C, relaxed, DFT PBE
# formation energy	-648	meV/atom
# spin magnetization	0.0	μB per formula unit
# DOS at the Fermi energy	0.07	states/eV/atom
data_La2Tm2Pb2C
_cell_length_a 9.1098
_cell_length_b 9.1098
_cell_length_c 9.1098
_cell_angle_alpha 149.10
_cell_angle_beta 149.10
_cell_angle_gamma 44.27
_space_group_name_H-M_alt 'P 1'
_space_group_IT_number 1
loop_
_space_group_symop_operation_xyz
'x,y,z'
loop_
_atom_site_label
_atom_site_type_symbol
_atom_site_fract_x
_atom_site_fract_y
_atom_site_fract_z
La1 La 0.1587 0.1587 0.0000
La2 La 0.8413 0.8413 0.0000
Tm1 Tm 0.0000 0.5000 0.5000
Tm2 Tm 0.5000 0.0000 0.5000
Pb1 Pb 0.3657 0.3657 0.0000
Pb2 Pb 0.6343 0.6343 0.0000
C1 C 0.0000 0.0000 0.0000

2.
# La2Y2Pb2C, relaxed, DFT PBE
# formation energy	-633	meV/atom
# spin magnetization	0.0	μB per formula unit
# DOS at the Fermi energy	0.08	states/eV/atom
data_La2Y2Pb2C
_cell_length_a 9.1501
_cell_length_b 9.1501
_cell_length_c 9.1501
_cell_angle_alpha 148.85
_cell_angle_beta 148.85
_cell_angle_gamma 44.63
_space_group_name_H-M_alt 'P 1'
_space_group_IT_number 1
loop_
_space_group_symop_operation_xyz
'x,y,z'
loop_
_atom_site_label
_atom_site_type_symbol
_atom_site_fract_x
_atom_site_fract_y
_atom_site_fract_z
La1 La 0.1592 0.1592 0.0000
La2 La 0.8408 0.8408 0.0000
Y1 Y 0.0000 0.5000 0.5000
Y2 Y 0.5000 0.0000 0.5000
Pb1 Pb 0.3642 0.3642 0.0000
Pb2 Pb 0.6358 0.6358 0.0000
C1 C 0.0000 0.0000 0.0000

3.
# La2ZrPbC, relaxed, DFT PBE
# formation energy	-343	meV/atom
# spin magnetization	0.9	μB per formula unit
# DOS at the Fermi energy	0.83	states/eV/atom
data_La2ZrPbC
_cell_length_a 5.2940
_cell_length_b 5.2940
_cell_length_c 4.6172
_cell_angle_alpha 90.00
_cell_angle_beta 90.00
_cell_angle_gamma 90.00
_space_group_name_H-M_alt 'P 1'
_space_group_IT_number 1
loop_
_space_group_symop_operation_xyz
'x,y,z'
loop_
_atom_site_label
_atom_site_type_symbol
_atom_site_fract_x
_atom_site_fract_y
_atom_site_fract_z
La1 La 0.0000 0.5000 0.0000
La2 La 0.5000 0.0000 0.0000
Zr1 Zr 0.0000 0.0000 0.5000
Pb1 Pb 0.5000 0.5000 0.5000
C1 C 0.0000 0.0000 0.0000

4.
# LaPd3C, relaxed, DFT PBE
# formation energy	-183	meV/atom
# spin magnetization	0.0	μB per formula unit
# DOS at the Fermi energy	1.25	states/eV/atom
data_LaPd3C
_cell_length_a 4.3863
_cell_length_b 4.3863
_cell_length_c 4.3863
_cell_angle_alpha 90.00
_cell_angle_beta 90.00
_cell_angle_gamma 90.00
_space_group_name_H-M_alt 'P 1'
_space_group_IT_number 1
loop_
_space_group_symop_operation_xyz
'x,y,z'
loop_
_atom_site_label
_atom_site_type_symbol
_atom_site_fract_x
_atom_site_fract_y
_atom_site_fract_z
La1 La 0.0000 0.0000 0.0000
Pd1 Pd 0.0000 0.5000 0.5000
Pd2 Pd 0.5000 0.0000 0.5000
Pd3 Pd 0.5000 0.5000 0.0000
C1 C 0.5000 0.5000 0.5000

Which formula does entry 1 have? La2Tm2Pb2C

spin magnetization of number 3 (La2ZrPbC)? 0.9 μB per formula unit

The lowest formation energy belongs to which entry? La2Tm2Pb2C